Y3OsS | PBE | relaxed

Cell lengths 5.044, 5.044, 5.044 Å; angles 90.00, 90.00, 90.00 degrees
Space group Pm-3m (No. 221)
Symmetry-distinct sites (fractional):
Y1 0.000 0.000 0.500 (multiplicity 3)
Os1 0.500 0.500 0.500 (multiplicity 1)
S1 0.000 0.000 0.000 (multiplicity 1)

Results
**Energy above the lowest structure with this stoichiometry**: 0.0 meV per atom
**DFT total energy**: -7.1129 eV/atom
**Uncorrected formation energy**: -15.7 kJ/mol of atoms

---

Zr2TiHPt | PBE | relaxed

Cell lengths 4.542, 4.542, 3.775 Å; angles 90.00, 90.00, 90.00 degrees
Space group P4/mmm (No. 123)
Symmetry-distinct sites (fractional):
Zr1 0.000 0.500 0.000 (multiplicity 2)
Ti1 0.000 0.000 0.500 (multiplicity 1)
H1 0.000 0.000 0.000 (multiplicity 1)
Pt1 0.500 0.500 0.500 (multiplicity 1)

Results
**DFT total energy**: -7.3854 eV/atom

---

Cr2CoAs | PBE | relaxed

Cell lengths 2.7773, 2.7773, 22.6463 Å; angles 90.00, 90.00, 120.00 degrees
Space group R3m (No. 160, hexagonal axes)
Symmetry-distinct sites (fractional):
Cr1 0.0000 0.0000 0.0000 (multiplicity 3)
Cr2 0.0000 0.0000 0.2567 (multiplicity 3)
Co1 0.0000 0.0000 0.5066 (multiplicity 3)
As1 0.0000 0.0000 0.7546 (multiplicity 3)

Results
**ΔE_f**: 0.272 eV/atom
**DFT total energy**: -7.4788 eV/atom

---

NaNdEuIn | PBE | relaxed

Cell lengths 7.963, 7.963, 7.963 Å; angles 90.00, 90.00, 90.00 degrees
Space group F-43m (No. 216)
Symmetry-distinct sites (fractional):
Na1 0.000 0.000 0.000 (multiplicity 4)
Nd1 0.250 0.250 0.750 (multiplicity 4)
Eu1 0.250 0.250 0.250 (multiplicity 4)
In1 0.000 0.000 0.500 (multiplicity 4)

Results
**ΔE_f**: -0.158 eV/atom
**DFT total energy**: -4.9327 eV/atom

---

Cu2SiOs | PBE | relaxed

Cell lengths 3.255, 3.255, 4.972 Å; angles 90.00, 90.00, 90.00 degrees
Space group P4/mmm (No. 123)
Symmetry-distinct sites (fractional):
Cu1 0.000 0.000 0.247 (multiplicity 2)
Si1 0.500 0.500 0.000 (multiplicity 1)
Os1 0.500 0.500 0.500 (multiplicity 1)

Results
**DFT total energy**: -5.9102 eV/atom
**Uncorrected formation energy**: 29.1 kJ/mol of atoms

---

MgZnGa2Pt4 | PBE | relaxed

Cell lengths 4.4110, 4.4110, 21.6069 Å; angles 90.00, 90.00, 120.00 degrees
Space group R-3m (No. 166, hexagonal axes)
Symmetry-distinct sites (fractional):
Mg1 0.0000 0.0000 0.0000 (multiplicity 3)
Zn1 0.0000 0.0000 0.5000 (multiplicity 3)
Ga1 0.0000 0.0000 0.2527 (multiplicity 6)
Pt1 0.0000 0.0000 0.1271 (multiplicity 6)
Pt2 0.0000 0.0000 0.3803 (multiplicity 6)

Results
**ΔE_f**: -0.631 eV/atom
**DFT total energy**: -4.7670 eV/atom

---

SmCdGe | PBE | relaxed

Cell lengths 10.896, 4.383, 7.294 Å; angles 90.00, 126.15, 90.00 degrees
Space group C2/m (No. 12)
Symmetry-distinct sites (fractional):
Sm1 0.065 0.000 0.323 (multiplicity 4)
Cd1 0.163 0.500 0.078 (multiplicity 4)
Ge1 0.154 0.500 0.677 (multiplicity 4)

Results
**ΔE_f**: -0.562 eV/atom
**DFT total energy**: -3.9790 eV/atom

---

TbPmHoHg | PBE | relaxed

Cell lengths 3.640, 3.640, 8.891 Å; angles 90.00, 90.00, 90.00 degrees
Space group P4mm (No. 99)
Symmetry-distinct sites (fractional):
Tb1 0.000 0.000 0.000 (multiplicity 1)
Pm1 0.500 0.500 0.283 (multiplicity 1)
Ho1 0.000 0.000 0.564 (multiplicity 1)
Hg1 0.500 0.500 0.778 (multiplicity 1)

Results
**Energy above the lowest structure with this stoichiometry**: 0.0 meV per atom
**ΔE_f**: -0.231 eV/atom
**DFT total energy**: -3.7962 eV/atom

---

Pr4IrOsBr2 | PBE | relaxed

Cell lengths 7.235, 4.174, 8.218 Å; angles 90.00, 106.97, 90.00 degrees
Space group P2/m (No. 10)
Symmetry-distinct sites (fractional):
Pr1 0.229 0.000 0.197 (multiplicity 2)
Pr2 0.263 0.500 0.805 (multiplicity 2)
Ir1 0.500 0.000 0.000 (multiplicity 1)
Os1 0.000 0.500 0.000 (multiplicity 1)
Br1 0.000 0.000 0.500 (multiplicity 1)
Br2 0.500 0.500 0.500 (multiplicity 1)

Results
**DFT total energy**: -6.1780 eV/atom
**Uncorrected formation energy**: -82.9 kJ/mol of atoms

---

ScZn2CdIr | PBE | relaxed

Cell lengths 4.742, 4.742, 5.090 Å; angles 90.00, 90.00, 90.00 degrees
Space group P4/mmm (No. 123)
Symmetry-distinct sites (fractional):
Sc1 0.000 0.000 0.000 (multiplicity 1)
Zn1 0.000 0.500 0.500 (multiplicity 2)
Cd1 0.500 0.500 0.000 (multiplicity 1)
Ir1 0.500 0.500 0.500 (multiplicity 1)

Results
**ΔE_f**: 0.232 eV/atom
**DFT total energy**: -3.4995 eV/atom

---

La6P2PbBr3 | PBE | relaxed

Cell lengths 19.340, 4.383, 8.915 Å; angles 90.00, 103.95, 90.00 degrees
Space group C2/m (No. 12)
Symmetry-distinct sites (fractional):
La1 0.016 0.000 0.261 (multiplicity 4)
La2 0.169 0.500 0.123 (multiplicity 4)
La3 0.176 0.500 0.563 (multiplicity 4)
P1 0.170 0.000 0.341 (multiplicity 4)
Pb1 0.000 0.500 0.000 (multiplicity 2)
Br1 0.000 0.500 0.500 (multiplicity 2)
Br2 0.162 0.000 0.835 (multiplicity 4)

Results
**DFT total energy**: -5.4704 eV/atom
**Uncorrected formation energy**: -132.9 kJ/mol of atoms

---

Ba3CaGa4 | PBE | relaxed

Cell lengths 10.861, 7.658, 8.694 Å; angles 90.00, 124.97, 90.00 degrees
Space group C2/m (No. 12)
Symmetry-distinct sites (fractional):
Ba1 0.000 0.000 0.000 (multiplicity 2)
Ba2 0.053 0.500 0.302 (multiplicity 4)
Ca1 0.000 0.000 0.500 (multiplicity 2)
Ga1 0.234 0.171 0.862 (multiplicity 8)

Results
**ΔE_f**: -0.318 eV/atom
**DFT total energy**: -2.8024 eV/atom

---

LiPmAgSn | PBE | relaxed

Cell lengths 4.965, 4.965, 6.986 Å; angles 90.00, 90.00, 90.00 degrees
Space group I-4m2 (No. 119)
Symmetry-distinct sites (fractional):
Li1 0.000 0.000 0.000 (multiplicity 2)
Pm1 0.000 0.500 0.250 (multiplicity 2)
Ag1 0.000 0.000 0.500 (multiplicity 2)
Sn1 0.000 0.500 0.750 (multiplicity 2)

Results
**Energy above the lowest structure with this stoichiometry**: 13.4 meV per atom
**ΔE_f**: -0.430 eV/atom
**DFT total energy**: -3.8098 eV/atom

---

Sr2LiAs | PBE | relaxed

Cell lengths 4.524, 4.508, 12.091 Å; angles 90.00, 90.00, 90.00 degrees
Space group Amm2 (No. 38)
Symmetry-distinct sites (fractional):
Sr1 0.000 0.000 0.000 (multiplicity 2)
Sr2 0.500 0.000 0.282 (multiplicity 2)
Li1 0.000 0.000 0.684 (multiplicity 2)
As1 0.500 0.000 0.568 (multiplicity 2)

Results
**ΔE_f**: -0.678 eV/atom
**DFT total energy**: -3.1600 eV/atom

---

Fe2AsRu | PBE | relaxed

Cell lengths 5.191, 5.191, 10.532 Å; angles 90.00, 90.00, 90.00 degrees
Space group I-42d (No. 122)
Symmetry-distinct sites (fractional):
Fe1 0.244 0.250 0.125 (multiplicity 8)
As1 0.000 0.000 0.500 (multiplicity 4)
Ru1 0.000 0.000 0.000 (multiplicity 4)

Results
**ΔE_f**: 0.796 eV/atom
**DFT total energy**: -6.9166 eV/atom

---

BaZnSnHg2 | PBE | relaxed

Cell lengths 5.298, 5.298, 5.426 Å; angles 90.00, 90.00, 90.00 degrees
Space group P4/mmm (No. 123)
Symmetry-distinct sites (fractional):
Ba1 0.000 0.000 0.000 (multiplicity 1)
Zn1 0.500 0.500 0.500 (multiplicity 1)
Sn1 0.500 0.500 0.000 (multiplicity 1)
Hg1 0.000 0.500 0.500 (multiplicity 2)

Results
**ΔE_f**: -0.208 eV/atom
**DFT total energy**: -1.7690 eV/atom

---

CeSmBiP | PBE | relaxed

Cell lengths 4.2761, 4.2761, 21.7175 Å; angles 90.00, 90.00, 120.00 degrees
Space group R3m (No. 160, hexagonal axes)
Symmetry-distinct sites (fractional):
Ce1 0.0000 0.0000 0.0000 (multiplicity 3)
Sm1 0.0000 0.0000 0.5212 (multiplicity 3)
Bi1 0.0000 0.0000 0.7600 (multiplicity 3)
P1 0.0000 0.0000 0.2610 (multiplicity 3)

Results
**ΔE_f**: -1.165 eV/atom
**DFT total energy**: -6.1509 eV/atom

---

FeAsSe2 | PBE | relaxed

Cell lengths 8.117, 3.486, 6.711 Å; angles 90.00, 110.19, 90.00 degrees
Space group Cm (No. 8)
Symmetry-distinct sites (fractional):
Fe1 0.000 0.000 0.000 (multiplicity 2)
As1 0.295 0.000 0.999 (multiplicity 2)
Se1 0.088 0.500 0.275 (multiplicity 2)
Se2 0.431 0.000 0.724 (multiplicity 2)

Results
**DFT total energy**: -5.0883 eV/atom
**Uncorrected formation energy**: -6.6 kJ/mol of atoms

---

Tb2SbRh | PBE | relaxed

Cell lengths 5.0731, 5.0731, 12.8301 Å; angles 90.00, 90.00, 120.00 degrees
Space group R-3m (No. 166, hexagonal axes)
Symmetry-distinct sites (fractional):
Tb1 0.0000 0.0000 0.2475 (multiplicity 6)
Sb1 0.0000 0.0000 0.0000 (multiplicity 3)
Rh1 0.0000 0.0000 0.5000 (multiplicity 3)

Results
**Energy above the lowest structure with this stoichiometry**: 222.7 meV per atom
**DFT total energy**: -5.9164 eV/atom
**Uncorrected formation energy**: -70.7 kJ/mol of atoms

---

ZrTiS2 | PBE | relaxed

Cell lengths 4.989, 10.609, 5.129 Å; angles 90.00, 90.00, 90.00 degrees
Space group Pna2_1 (No. 33)
Symmetry-distinct sites (fractional):
Zr1 0.001 0.151 0.000 (multiplicity 4)
Ti1 0.000 0.346 0.568 (multiplicity 4)
S1 0.000 0.114 0.507 (multiplicity 4)
S2 0.001 0.398 0.048 (multiplicity 4)

Results
**Energy above the lowest structure with this stoichiometry**: 54.8 meV per atom
**DFT total energy**: -7.5032 eV/atom
**Uncorrected formation energy**: -128.2 kJ/mol of atoms

---

RuPtN2 | PBE | relaxed

Cell lengths 5.510, 5.510, 5.510 Å; angles 90.00, 90.00, 90.00 degrees
Space group Fm-3m (No. 225)
Symmetry-distinct sites (fractional):
Ru1 0.000 0.000 0.000 (multiplicity 4)
Pt1 0.000 0.000 0.500 (multiplicity 4)
N1 0.250 0.250 0.250 (multiplicity 8)

Results
**Energy above the lowest structure with this stoichiometry**: 1095.1 meV per atom
**DFT total energy**: -6.4565 eV/atom
**Uncorrected formation energy**: 148.1 kJ/mol of atoms

---

DyEr2ThS4 | PBE | relaxed

Cell lengths 6.794, 3.887, 6.837 Å; angles 90.00, 109.07, 90.00 degrees
Space group P2/m (No. 10)
Symmetry-distinct sites (fractional):
Dy1 0.000 0.000 0.000 (multiplicity 1)
Er1 0.000 0.500 0.500 (multiplicity 1)
Er2 0.500 0.000 0.500 (multiplicity 1)
Th1 0.500 0.500 0.000 (multiplicity 1)
S1 0.239 0.000 0.736 (multiplicity 2)
S2 0.247 0.500 0.259 (multiplicity 2)

Results
**DFT total energy**: -6.6269 eV/atom
**Uncorrected formation energy**: -185.2 kJ/mol of atoms

---

Be3Ir | PBE | relaxed

Cell lengths 2.6925, 2.6925, 6.8314 Å; angles 90.00, 90.00, 120.00 degrees
Space group P-6m2 (No. 187)
Symmetry-distinct sites (fractional):
Be1 0.0000 0.0000 0.0000 (multiplicity 1)
Be2 0.3333 0.6667 0.2426 (multiplicity 2)
Ir1 0.0000 0.0000 0.5000 (multiplicity 1)

Results
**ΔE_f**: -0.031 eV/atom
**DFT total energy**: -5.0411 eV/atom

---

LiYCdSn2 | PBE | relaxed

Cell lengths 5.785, 5.785, 5.908 Å; angles 90.00, 90.00, 90.00 degrees
Space group P4/mmm (No. 123)
Symmetry-distinct sites (fractional):
Li1 0.000 0.000 0.000 (multiplicity 1)
Y1 0.500 0.500 0.500 (multiplicity 1)
Cd1 0.500 0.500 0.000 (multiplicity 1)
Sn1 0.000 0.500 0.500 (multiplicity 2)

Results
**ΔE_f**: 0.368 eV/atom
**DFT total energy**: -3.0919 eV/atom

---

Nd3Zn3Ga8 | PBE | relaxed

Cell lengths 4.297, 10.087, 12.728 Å; angles 90.00, 90.00, 90.00 degrees
Space group Immm (No. 71)
Symmetry-distinct sites (fractional):
Nd1 0.000 0.000 0.000 (multiplicity 2)
Nd2 0.000 0.000 0.316 (multiplicity 4)
Zn1 0.000 0.211 0.500 (multiplicity 4)
Zn2 0.000 0.500 0.000 (multiplicity 2)
Ga1 0.000 0.278 0.138 (multiplicity 8)
Ga2 0.000 0.371 0.339 (multiplicity 8)

Results
**ΔE_f**: -0.474 eV/atom
**DFT total energy**: -3.4988 eV/atom

---

Y2RuRh | PBE | relaxed

Cell lengths 6.787, 6.787, 6.787 Å; angles 90.00, 90.00, 90.00 degrees
Space group F-43m (No. 216)
Symmetry-distinct sites (fractional):
Y1 0.000 0.000 0.000 (multiplicity 4)
Y2 0.250 0.250 0.250 (multiplicity 4)
Ru1 0.000 0.000 0.500 (multiplicity 4)
Rh1 0.250 0.250 0.750 (multiplicity 4)

Results
**ΔE_f**: -0.032 eV/atom
**DFT total energy**: -7.4206 eV/atom

---

Ag3Cl | PBE | relaxed

Cell lengths 6.2318, 6.2318, 4.7425 Å; angles 90.00, 90.00, 120.00 degrees
Space group P6_3/mmc (No. 194)
Symmetry-distinct sites (fractional):
Ag1 0.1551 0.3103 0.2500 (multiplicity 6)
Cl1 0.3333 0.6667 0.7500 (multiplicity 2)

Results
**Energy above the lowest structure with this stoichiometry**: 162.4 meV per atom
**DFT total energy**: -2.5395 eV/atom
**Uncorrected formation energy**: 5.9 kJ/mol of atoms